## i
Here is GaHg2Br8 after structural relaxation from Alexandria via LeMat-Bulk. Energies are from PBE.

The structure in POSCAR format:
```
GaHg2Br8
1.0
6.547 0.000 0.000
-3.273 6.006 -2.179
0.000 0.194 11.238
Br Ga Hg
8 1 2
Direct
0.387 0.274 0.107
0.176 0.352 0.533
0.613 0.726 0.893
0.542 0.084 0.686
0.458 0.916 0.314
0.824 0.648 0.467
0.887 0.274 0.107
0.113 0.726 0.893
0.000 0.000 0.000
0.667 0.333 0.555
0.333 0.667 0.445
```

Mass density (kg/m³): 4146



## ii
Here is GaHg2Br8 after structural relaxation from Alexandria via LeMat-Bulk. Energies are from PBE.

The structure in POSCAR format:
```
GaHg2Br8
1.0
6.569 0.336 0.279
0.653 8.029 -0.967
0.653 0.517 8.070
Br Hg Ga
8 2 1
Direct
0.799 0.756 0.069
0.774 0.531 0.531
0.201 0.931 0.244
0.751 0.212 0.212
0.799 0.069 0.756
0.201 0.244 0.931
0.226 0.469 0.469
0.249 0.788 0.788
0.655 0.771 0.771
0.345 0.229 0.229
0.000 0.000 0.000
```

Mass density (kg/m³): 4331



The calculated energies rank the structures as follows, beginning with the most stable: ii, i.



## i
Here is InGaHg2Br after structural relaxation from Alexandria via LeMat-Bulk. Energies are from PBE.

The structure in POSCAR format:
```
InGaHg2Br
1.0
-1.235 -3.871 -3.438
4.828 -2.137 0.671
-2.019 -3.202 4.330
Ga Hg In Br
1 2 1 1
Direct
0.000 0.000 0.000
0.000 0.500 0.000
0.500 0.000 0.000
0.500 0.500 0.500
0.000 0.000 0.500
```

Mass density (kg/m³): 6784



## ii
Here is InGaHg2Br after structural relaxation from Alexandria via LeMat-Bulk. Energies are from PBE.

The structure in POSCAR format:
```
InGaHg2Br
1.0
5.285 0.000 0.000
0.000 5.285 0.000
0.000 0.000 5.536
In Hg Ga Br
1 2 1 1
Direct
0.000 0.000 0.500
0.500 0.000 0.000
0.000 0.500 0.000
0.000 0.000 0.000
0.500 0.500 0.500
```

Mass density (kg/m³): 7149



The calculated energies rank the structures as follows, beginning with the most stable: ii, i.



## i
Here is RbGaHgBr2 after structural relaxation from Alexandria via LeMat-Bulk. Energies are from PBE.

The structure in POSCAR format:
```
RbGaHgBr2
1.0
-5.189 1.235 2.405
1.305 -3.414 4.569
2.136 4.139 2.483
Rb Br Ga Hg
1 2 1 1
Direct
0.500 0.500 0.500
0.500 0.000 0.000
0.000 0.500 0.000
0.000 0.000 0.000
0.000 0.000 0.500
```

Mass density (kg/m³): 4738



## ii
Here is RbGaHgBr2 after structural relaxation from Alexandria via LeMat-Bulk. Energies are from PBE.

The structure in POSCAR format:
```
RbGaHgBr2
1.0
5.773 0.000 0.000
0.000 6.520 0.000
0.000 0.000 5.773
Br Rb Hg Ga
2 1 1 1
Direct
0.000 0.000 0.500
0.500 0.000 0.000
0.000 0.500 0.000
0.500 0.500 0.500
0.000 0.000 0.000
```

Mass density (kg/m³): 3940



The calculated energies rank the structures as follows, beginning with the most stable: i, ii.